No. 1
A plane-wave DFT calculation with GGA-PBE was carried out for a relaxed SrCa2MgRh crystal.

As for the space group: P4/mmm (123). For the energy above the most stable polymorph in this dataset, the calculation gives 0.057 eV per atom. Its calculated volume is 176.5 Å³ per cell. Its density is 2.8 g cm⁻³. For the density of states at the Fermi level, the calculation gives 0.646 states/eV/atom. As for the formation energy: -0.14 eV/atom.

Cell: 5.5151 5.5151 5.8018 Å, 90.00 90.00 90.00°
With the nearest neighbours (Å) after each atom.
Positions (direct):
Rh: 0.0000 0.0000 0.0000  4 Ca 2.76, 2 Sr 2.90
Sr: 0.0000 0.0000 0.5000  2 Rh 2.90
Mg: 0.5000 0.5000 0.5000  4 Sr 3.90, 8 Ca 4.00
Ca: 0.5000 0.0000 0.0000  2 Rh 2.76
Ca: 0.0000 0.5000 0.0000  2 Rh 2.76

***

No. 2
A plane-wave DFT calculation with GGA-PBE was carried out for a relaxed Ba2I3Cl crystal.

As for the space group: Imma (74). Its calculated volume is 638.3 Å³ per cell. Its density is 3.6 g cm⁻³. For the density of states at the Fermi level, the calculation gives 0.000 states/eV/atom. The raw formation energy is -1926 meV/atom.

Cell: 9.4208 9.4208 9.4208 Å, 103.92 110.32 114.34°
With the nearest neighbours (Å) after each atom.
Positions (direct):
Ba: 0.5000 0.0000 0.0000  2 Cl 3.15, 4 I 3.45-3.49
Ba: 0.0000 0.5000 0.0000  2 Cl 3.15, 4 I 3.45-3.49
I: 0.0000 0.8010 0.3010  3 Ba 3.47-3.49
I: 0.0000 0.1990 0.6990  3 Ba 3.47-3.49
Cl: 0.4218 0.7500 0.1718  3 Ba 3.09-3.15
Ba: 0.2907 0.2500 0.5407  1 Cl 3.09
I: 0.0345 0.7500 0.7845  3 Ba 3.45-3.50
Ba: 0.7093 0.7500 0.4593  1 Cl 3.09
I: 0.9655 0.2500 0.2155  3 Ba 3.45-3.50
Cl: 0.5782 0.2500 0.8282  3 Ba 3.09-3.15
I: 0.5000 0.6990 0.6990  3 Ba 3.47-3.49
I: 0.5000 0.3010 0.3010  3 Ba 3.47-3.49

***

No. 3
A plane-wave DFT calculation with GGA-PBE was carried out for a relaxed Cr2H2Rh crystal.

As for the space group: P2_1/m (11). For the energy above the most stable polymorph in this dataset, the calculation gives 0.000 eV per atom. Its calculated volume is 83.5 Å³ per cell. Its density is 8.3 g cm⁻³. For the density of states at the Fermi level, the calculation gives 0.823 states/eV/atom.

Cell: 2.7074 4.7215 6.7114 Å, 103.33 90.00 90.00°
With the nearest neighbours (Å) after each atom.
Positions (direct):
Rh: 0.7457 0.4864 0.1801  5 H 2.02-2.14
H: 0.7457 0.8028 0.0135  3 Cr 1.82-1.89
Cr: 0.7457 0.0324 0.8171  4 H 1.82-1.89
Cr: 0.2457 0.7714 0.4943  3 H 1.83-2.04
H: 0.2457 0.1972 0.9865  3 Cr 1.82-1.89
Cr: 0.7457 0.2286 0.5057  3 H 1.83-2.04
Cr: 0.2457 0.9676 0.1829  4 H 1.82-1.89
H: 0.7457 0.6614 0.6444  4 Cr 1.83-2.04, 2 Rh 2.02
H: 0.2457 0.3386 0.3556  4 Cr 1.83-2.04, 2 Rh 2.02
Rh: 0.2457 0.5136 0.8199  5 H 2.02-2.14

***

No. 4
A plane-wave DFT calculation with GGA-PBE was carried out for a relaxed BeSbTeN2 crystal.

As for the space group: P4/mmm (123). For the energy above the most stable polymorph in this dataset, the calculation gives 0.000 eV per atom. Its calculated volume is 103.5 Å³ per cell. Its density is 4.6 g cm⁻³. For the density of states at the Fermi level, the calculation gives 0.322 states/eV/atom. The raw formation energy is 1389 meV/atom.

Cell: 3.9171 3.9171 6.7442 Å, 90.00 90.00 90.00°
With the nearest neighbours (Å) after each atom.
Positions (direct):
Sb: 0.0000 0.0000 0.0000  4 N 1.96
Be: 0.5000 0.5000 0.5000  4 Te 2.77
Te: 0.0000 0.0000 0.5000  4 Be 2.77
N: 0.0000 0.5000 0.0000  2 Sb 1.96
N: 0.5000 0.0000 0.0000  2 Sb 1.96

***

No. 5
A plane-wave DFT calculation with GGA-PBE was carried out for a relaxed HoErCoRu crystal.

As for the space group: F-43m (216). For the energy above the most stable polymorph in this dataset, the calculation gives 0.000 eV per atom. Its calculated volume is 75.0 Å³ per cell. Its density is 10.9 g cm⁻³. For the density of states at the Fermi level, the calculation gives 0.936 states/eV/atom. As for the formation energy: -0.29 eV/atom.

Cell: 4.7332 4.7332 4.7332 Å, 60.00 60.00 60.00°
With the nearest neighbours (Å) after each atom.
Positions (direct):
Ru: 0.7500 0.7500 0.7500  4 Er 2.90, 4 Ho 2.90
Ho: 0.5000 0.5000 0.5000  4 Co 2.90, 4 Ru 2.90
Co: 0.2500 0.2500 0.2500  4 Ho 2.90, 4 Er 2.90
Er: 0.0000 0.0000 0.0000  4 Ru 2.90, 4 Co 2.90

***

No. 6
A plane-wave DFT calculation with GGA-PBE was carried out for a relaxed Y5ErSe6 crystal.

As for the space group: C2/m (12). Its calculated volume is 287.7 Å³ per cell. Its density is 6.3 g cm⁻³. For the density of states at the Fermi level, the calculation gives 0.422 states/eV/atom. The raw formation energy is -1755 meV/atom.

Cell: 7.0492 7.0631 7.0774 Å, 60.07 80.36 70.39°
With the nearest neighbours (Å) after each atom.
Positions (direct):
Y: 0.0000 0.6674 0.6652  6 Se 2.88-2.90
Se: 0.2478 0.9171 0.6705  1 Er 2.85, 5 Y 2.88-2.89
Se: 0.7505 0.7530 0.0000  1 Er 2.86, 5 Y 2.90
Y: 0.5000 0.1694 0.6612  6 Se 2.88-2.90
Y: 0.0000 0.3326 0.3348  6 Se 2.88-2.90
Se: 0.7522 0.4124 0.6705  1 Er 2.85, 5 Y 2.88-2.89
Se: 0.2495 0.2470 0.0000  1 Er 2.86, 5 Y 2.90
Se: 0.2478 0.5876 0.3295  1 Er 2.85, 5 Y 2.88-2.89
Y: 0.5000 0.5000 0.0000  6 Se 2.88-2.90
Y: 0.5000 0.8306 0.3388  6 Se 2.88-2.90
Se: 0.7522 0.0829 0.3295  1 Er 2.85, 5 Y 2.88-2.89
Er: 0.0000 0.0000 0.0000  6 Se 2.85-2.86

***

No. 7
A plane-wave DFT calculation with GGA-PBE was carried out for a relaxed Ca5Mg4Al crystal.

As for the space group: P4/mmm (123). Its calculated volume is 299.0 Å³ per cell. Its density is 1.8 g cm⁻³. For the density of states at the Fermi level, the calculation gives 0.835 states/eV/atom. As for the formation energy: -0.11 eV/atom.

Cell: 3.8904 3.8904 19.7555 Å, 90.00 90.00 90.00°
With the nearest neighbours (Å) after each atom.
Positions (direct):
Ca: 0.5000 0.5000 0.2939  8 Mg 3.42
Al: 0.0000 0.0000 0.0000  8 Ca 3.27
Ca: 0.5000 0.5000 0.7061  8 Mg 3.42
Ca: 0.5000 0.5000 0.5000  8 Mg 3.42
Mg: 0.0000 0.0000 0.6031  8 Ca 3.42
Mg: 0.0000 0.0000 0.1909  8 Ca 3.41-3.42, 1 Al 3.77
Ca: 0.5000 0.5000 0.9109  4 Al 3.27, 4 Mg 3.41, 1 Ca 3.52
Ca: 0.5000 0.5000 0.0891  4 Al 3.27, 4 Mg 3.41, 1 Ca 3.52
Mg: 0.0000 0.0000 0.3969  8 Ca 3.42
Mg: 0.0000 0.0000 0.8091  8 Ca 3.41-3.42, 1 Al 3.77

***

No. 8
A plane-wave DFT calculation with GGA-PBE was carried out for a relaxed Ho3TcB7 crystal.

As for the space group: Cmcm (63). Its calculated volume is 258.7 Å³ per cell. Its density is 8.6 g cm⁻³. For the density of states at the Fermi level, the calculation gives 0.296 states/eV/atom. As for the formation energy: -0.65 eV/atom.

Cell: 3.5296 8.0597 9.3196 Å, 90.00 90.00 102.65°
With the nearest neighbours (Å) after each atom.
Positions (direct):
B: 0.4795 0.9590 0.0954  3 B 1.75-1.89
B: 0.2730 0.5460 0.4667  3 B 1.85-2.01
B: 0.2730 0.5460 0.0333  3 B 1.85-2.01
Ho: 0.8950 0.7900 0.9403  11 B 2.64-2.75
B: 0.5205 0.0410 0.9046  3 B 1.75-1.89
Ho: 0.1050 0.2100 0.4403  11 B 2.64-2.75
Ho: 0.7585 0.5170 0.2500  10 B 2.63-2.69
Ho: 0.8950 0.7900 0.5597  11 B 2.64-2.75
Ho: 0.1050 0.2100 0.0597  11 B 2.64-2.75
Tc: 0.9468 0.8937 0.2500  10 B 2.32-2.35
B: 0.6320 0.2639 0.8494  3 B 1.83-1.85
B: 0.7270 0.4540 0.9667  3 B 1.85-2.01
B: 0.4571 0.9143 0.7500  2 B 1.75
B: 0.3680 0.7361 0.3494  3 B 1.83-1.85
B: 0.5205 0.0410 0.5954  3 B 1.75-1.89
B: 0.7270 0.4540 0.5333  3 B 1.85-2.01
B: 0.3680 0.7361 0.1506  3 B 1.83-1.85
Tc: 0.0532 0.1063 0.7500  10 B 2.32-2.35
B: 0.4795 0.9590 0.4046  3 B 1.75-1.89
B: 0.6320 0.2639 0.6506  3 B 1.83-1.85
B: 0.5429 0.0857 0.2500  2 B 1.75
Ho: 0.2415 0.4830 0.7500  10 B 2.63-2.69